# SbAs2Pt2 (PBEsol, relaxed)
# - SG: I4/mmm
# - Size of the total moment: 0.00 μB per cell
# - ΔE_f (raw): 0.00 eV/atom
# - Raw total energy: -5.736 eV per atom
data_SbAs2Pt2
_chemical_formula_sum 'Sb1 As2 Pt2'
_cell_length_a 3.812
_cell_length_b 3.812
_cell_length_c 7.300
_cell_angle_alpha 105.13
_cell_angle_beta 105.13
_cell_angle_gamma 90.00
_symmetry_space_group_name_H-M 'P 1'
_symmetry_Int_Tables_number 1
loop_
_symmetry_equiv_pos_as_xyz
'x,y,z'
loop_
_atom_site_label
_atom_site_fract_x
_atom_site_fract_y
_atom_site_fract_z
Sb1 0.000 0.000 0.000
As1 0.623 0.623 0.246
Pt1 0.750 0.250 0.500
Pt2 0.250 0.750 0.500
As2 0.377 0.377 0.754



# Zr2ZnBi (PBEsol, relaxed)
# - SG: Fm-3m
# - Size of the total moment: 0.00 μB per cell
# - Formation energy: -0.1117 eV/atom
# - Raw total energy: -6.123 eV per atom
data_Zr2ZnBi
_chemical_formula_sum 'Zr2 Zn1 Bi1'
_cell_length_a 4.905
_cell_length_b 4.905
_cell_length_c 4.905
_cell_angle_alpha 60.00
_cell_angle_beta 60.00
_cell_angle_gamma 60.00
_symmetry_space_group_name_H-M 'P 1'
_symmetry_Int_Tables_number 1
loop_
_symmetry_equiv_pos_as_xyz
'x,y,z'
loop_
_atom_site_label
_atom_site_fract_x
_atom_site_fract_y
_atom_site_fract_z
Zr1 0.750 0.750 0.750
Zr2 0.250 0.250 0.250
Zn1 0.000 0.000 0.000
Bi1 0.500 0.500 0.500